a) InBi2Se2 | PBE | optimized geometry

Lattice parameters (Å, degrees): 5.793 5.793 9.744 90.00 90.00 90.00
Space group I4/mmm (No. 139)
Unique sites:
In (0.000, 0.000, 0.000) (multiplicity 2)
Bi (0.000, 0.000, 0.327) (multiplicity 4)
Se (0.000, 0.500, 0.250) (multiplicity 4)

Spin magnetization in μB per formula unit: 0.000
Fermi-level density of states in states/eV per atom: 0.51
Calculated density in g cm⁻³: 7.016

=====

b) InBi2Se2 | PBE | optimized geometry

Lattice parameters (Å, degrees): 8.672 8.672 3.835 90.00 90.00 90.00
Space group P4/mbm (No. 127)
Unique sites:
In (0.000, 0.000, 0.000) (multiplicity 2)
Bi (0.184, 0.316, 0.500) (multiplicity 4)
Se (0.145, 0.645, 0.000) (multiplicity 4)

Spin magnetization in μB per formula unit: 0.000
Fermi-level density of states in states/eV per atom: 0.41
Calculated density in g cm⁻³: 7.953

=====

Of them, a) has the highest stability.

=====

a) In2Bi2Se | PBE | optimized geometry

Lattice parameters (Å, degrees): 4.249 4.249 16.174 90.00 90.00 90.00
Space group I4/mmm (No. 139)
Unique sites:
In (0.000, 0.500, 0.250) (multiplicity 4)
Bi (0.000, 0.000, 0.101) (multiplicity 4)
Se (0.000, 0.000, 0.500) (multiplicity 2)

Spin magnetization in μB per formula unit: 0.000
Fermi-level density of states in states/eV per atom: 0.59
Calculated density in g cm⁻³: 8.261

=====

b) In2Bi2Se | PBE | optimized geometry

Lattice parameters (Å, degrees): 8.257 8.257 4.452 90.00 90.00 90.00
Space group P4/mbm (No. 127)
Unique sites:
In (0.137, 0.363, 0.000) (multiplicity 4)
Bi (0.171, 0.671, 0.500) (multiplicity 4)
Se (0.000, 0.000, 0.500) (multiplicity 2)

Spin magnetization in μB per formula unit: 0.000
Fermi-level density of states in states/eV per atom: 0.48
Calculated density in g cm⁻³: 7.949

=====

Of them, b) has the highest stability.

=====

a) In2BiSe | PBE | optimized geometry

Lattice parameters (Å, degrees): 7.585 7.585 7.585 90.00 90.00 90.00
Space group Fm-3m (No. 225)
Unique sites:
In (0.250, 0.250, 0.250) (multiplicity 8)
Bi (0.000, 0.000, 0.000) (multiplicity 4)
Se (0.000, 0.000, 0.500) (multiplicity 4)

Spin magnetization in μB per formula unit: 0.000
Fermi-level density of states in states/eV per atom: 0.83
Calculated density in g cm⁻³: 7.878

=====

b) In2BiSe | PBE | optimized geometry

Lattice parameters (Å, degrees): 6.680 6.680 13.606 90.00 90.00 90.00
Space group I-42d (No. 122)
Unique sites:
In (0.231, 0.250, 0.125) (multiplicity 8)
Bi (0.000, 0.000, 0.500) (multiplicity 4)
Se (0.000, 0.000, 0.000) (multiplicity 4)

Spin magnetization in μB per formula unit: 0.000
Fermi-level density of states in states/eV per atom: 0.42
Calculated density in g cm⁻³: 5.663

=====

Of them, b) has the highest stability.